A plane-wave DFT calculation with PBE+U was carried out for crystalline Er2CoSbO6 at its relaxed geometry.

- V: 13.28 Å³ per atom
- Size of the total moment: 0.23 μB per atom
- E: -7.14 eV/atom

```
data_Er2CoSbO6
_chemical_formula_sum 'Er2 Co1 Sb1 O6'
_cell_length_a 5.594
_cell_length_b 5.600
_cell_length_c 5.852
_cell_angle_alpha 61.48
_cell_angle_beta 89.94
_cell_angle_gamma 60.15
_space_group_name_H-M_alt 'P 1'
_space_group_IT_number 1
_space_group_name_Hall 'P 1'
loop_
_atom_site_label
_atom_site_fract_x
_atom_site_fract_y
_atom_site_fract_z
Er1 0.000 0.000 0.000
Er2 0.500 0.001 0.496
Co1 0.784 0.428 0.358
Sb1 0.286 0.429 0.857
O1 0.085 0.507 0.159
O2 0.170 0.919 0.660
O3 0.409 0.926 0.156
O4 0.583 0.249 0.661
O5 0.666 0.252 0.156
O6 0.911 0.509 0.660
```